MgSc2TlCr: optimized geometry, PBE-GGA.

## Properties
Crystal system: tetragonal
Formation energy in eV/f.u.: 1.914
Energy above the most stable polymorph in this dataset in kJ/mol of atoms: 0.0

Unit cell a=4.7660 b=5.2350 c=4.7660 alpha=90.00 beta=90.00 gamma=90.00
Element x y z (fractional)
1 Sc 0.0000 0.0000 0.5000
2 Sc 0.5000 0.0000 0.0000
3 Cr 0.0000 0.0000 0.0000
4 Tl 0.0000 0.5000 0.0000
5 Mg 0.5000 0.5000 0.5000

MgScTl2Cr: optimized geometry, PBE-GGA.

## Properties
Crystal system: tetragonal
Formation energy in eV/f.u.: 2.219

Unit cell a=5.2766 b=4.6684 c=5.2766 alpha=90.00 beta=90.00 gamma=90.00
Last column: magnetic moment on the atom in μB.
Element x y z (fractional)
1 Sc 0.0000 0.5000 0.0000  -0.11
2 Cr 0.0000 0.0000 0.0000  1.84
3 Tl 0.0000 0.0000 0.5000  -0.01
4 Tl 0.5000 0.0000 0.0000  -0.04
5 Mg 0.5000 0.5000 0.5000  0.02

MgSc2TlCr: optimized geometry, PBE-GGA.

## Properties
Crystal system: tetragonal
Formation energy in eV/f.u.: 4.208
Energy above the most stable polymorph in this dataset in kJ/mol of atoms: 44.3

Unit cell a=5.4175 b=5.1387 c=5.4175 alpha=90.00 beta=90.00 gamma=90.00
Last column: magnetic moment on the atom in μB.
Element x y z (fractional)
1 Sc 0.0000 0.0000 0.5000  0.05
2 Sc 0.5000 0.0000 0.0000  -0.01
3 Cr 0.5000 0.5000 0.5000  4.06
4 Tl 0.0000 0.0000 0.0000  0.01
5 Mg 0.0000 0.5000 0.0000  -0.01

TmMgScCr: optimized geometry, PBE-GGA.

## Properties
Crystal system: cubic
Formation energy in eV/f.u.: 0.570

Unit cell a=5.0118 b=5.0118 c=5.0118 alpha=60.00 beta=60.00 gamma=60.00
Last column: magnetic moment on the atom in μB.
Element x y z (fractional)
1 Sc 0.0000 0.0000 0.0000  -0.10
2 Cr 0.2500 0.2500 0.2500  3.31
3 Mg 0.7500 0.7500 0.7500  -0.03
4 Tm 0.5000 0.5000 0.5000  0.00

Mg2Cr2Se: optimized geometry, PBE-GGA.

## Properties
Crystal system: tetragonal
Formation energy from raw total energies in eV per atom: 0.1693
Energy above the most stable polymorph in this dataset in kJ/mol of atoms: 0.0

Unit cell a=3.2740 b=3.2740 c=8.5122 alpha=78.91 beta=78.91 gamma=90.00
Element x y z (fractional)
1 Cr 0.7500 0.2500 0.5000
2 Cr 0.2500 0.7500 0.5000
3 Mg 0.3985 0.3985 0.2030
4 Mg 0.6015 0.6015 0.7970
5 Se 0.0000 0.0000 0.0000

MgCrSe2: optimized geometry, PBE-GGA.

## Properties
Crystal system: monoclinic
Formation energy from raw total energies in eV per atom: -0.5238

Unit cell a=3.5171 b=4.1668 c=7.3750 alpha=118.65 beta=90.00 gamma=90.00
Last column: magnetic moment on the atom in μB.
Element x y z (fractional)
1 Cr 0.5000 0.2500 0.2500  3.58
2 Mg 0.5000 0.7500 0.7500  0.01
3 Se 0.0000 0.2498 0.0008  -0.04
4 Se 0.0000 0.2502 0.4992  -0.04